Below is a relaxed structure of Rb3Ac2FeO6, with properties calculated at the GGA+U level.

```
data_Rb3Ac2FeO6
_chemical_formula_sum 'Rb3 Ac2 Fe1 O6'
_cell_length_a 6.320
_cell_length_b 6.320
_cell_length_c 6.908
_cell_angle_alpha 98.60
_cell_angle_beta 98.60
_cell_angle_gamma 120.05
_space_group_name_H-M_alt 'P 1'
_space_group_IT_number 1
loop_
_space_group_symop_operation_xyz
'x,y,z'
loop_
_atom_site_label
_atom_site_fract_x
_atom_site_fract_y
_atom_site_fract_z
Rb1 0.500 0.500 0.500
Fe1 0.000 0.000 0.000
O1 0.059 0.351 0.178
O2 0.237 0.237 0.821
O3 0.763 0.763 0.179
Rb2 0.842 0.158 0.500
O4 0.351 0.059 0.178
Ac1 0.667 0.333 0.000
Ac2 0.333 0.667 0.000
O5 0.941 0.649 0.822
O6 0.649 0.941 0.822
Rb3 0.158 0.842 0.500
```

Uncorrected energy, eV per cell: -71.11
Density, g cm⁻³: 6.283
Space group: C2/m (12)
Total magnetic moment, μB/cell: 5.04